## PrPuMg2 (PBE)

Data for a geometry-optimized PrPuMg2 structure.

Cell and atoms, written as extended XYZ:
```
4
Lattice="3.2984 0.0000 0.0000 0.0000 3.2984 0.0000 0.0000 0.0000 10.1386" Properties=species:S:1:pos:R:3 pbc="T T T"
Mg 0.0000 0.0000 7.6555
Mg 0.0000 0.0000 2.4831
Pu 1.6492 1.6492 0.0000
Pr 1.6492 1.6492 5.0693
```

The energy is -5.496 eV/atom. The formation energy from the elements comes out at 7.6 kJ per mole of atoms. As for the space group: P4/mmm, No. 123. Its density is 6.53 Mg/m³. As for the energy above the most stable polymorph in this dataset: 0 meV per atom.